! Cd8Ni | the Alexandria database | GGA-PBEsol | relaxed; values from VASP
! total moment	0.000	μB per atom
! electronic total energy	-15.2	eV per cell
! symmetry	No. 139
! mass density	9.3	g/cm3
&SYSTEM
  ibrav = 0, nat = 9, ntyp = 2
/
ATOMIC_SPECIES
Cd 112.41 Cd.upf
Ni 58.69 Ni.upf
ATOMIC_POSITIONS crystal
Cd 0.000 0.326 0.326
Cd 0.000 0.674 0.674
Cd 0.326 0.000 0.326
Cd 0.341 0.341 0.683
Cd 0.341 0.659 0.000
Cd 0.659 0.341 0.000
Cd 0.659 0.659 0.317
Cd 0.674 0.000 0.674
Ni 0.000 0.000 0.000
CELL_PARAMETERS angstrom
-4.543 4.543 2.080
4.543 -4.543 2.080
4.543 4.543 -2.080

! LiIn2Ni | the Alexandria database | GGA-PBEsol | relaxed; values from VASP
! total moment	0.000	μB per atom
! electronic total energy	-15.2	eV per cell
! symmetry	No. 225
! mass density	7.8	g/cm3
&SYSTEM
  ibrav = 0, nat = 4, ntyp = 3
/
ATOMIC_SPECIES
Li 6.94 Li.upf
In 114.82 In.upf
Ni 58.69 Ni.upf
ATOMIC_POSITIONS crystal
Li 0.000 0.000 0.000
In 0.250 0.250 0.250
In 0.750 0.750 0.750
Ni 0.500 0.500 0.500
CELL_PARAMETERS angstrom
0.000 3.156 3.156
3.156 0.000 3.156
3.156 3.156 0.000

Number 1: V 19.1 A^3/atom. Number 2: V 15.7 A^3/atom.